# 1
The following is a DFT calculation (PBE-GGA) of ReGeC3 after structural relaxation.

Cell: 4.0567 4.0567 4.0567 Å, 90.00 90.00 90.00°
Atoms (fractional coordinates):
1 Ge 0.5000 0.5000 0.5000
2 C 0.0000 0.0000 0.5000
3 C 0.0000 0.5000 0.0000
4 C 0.5000 0.0000 0.0000
5 Re 0.0000 0.0000 0.0000

DFT formation energy	175.5	kJ/mol of atoms
E above lowest polymorph	0.000	eV per atom

---

# 2
The following is a DFT calculation (PBE-GGA) of Sc4HC2O after structural relaxation.

Cell: 3.2941 5.6891 5.5946 Å, 108.99 90.00 90.00°
Atoms (fractional coordinates):
1 H 0.5000 0.5000 0.0000
2 Sc 0.0000 0.7684 0.2683
3 Sc 0.5000 0.7496 0.7338
4 Sc 0.5000 0.2504 0.2662
5 Sc 0.0000 0.2316 0.7317
6 O 0.0000 0.0000 0.0000
7 C 0.0000 0.5000 0.5000
8 C 0.5000 0.0000 0.5000

---

Which total magnetization belongs to each record? In order, 0.00; 0.00 μB per atom.
Which VASP energy belongs to each record? In order, -35.640; -61.982 eV per formula unit.